No. 1
Density functional theory data (PBE) for crystalline PaAlIrO6 at its relaxed geometry.

Lattice parameters (Å, degrees): 4.782 4.782 9.384 90.00 90.00 90.00
Last column: magnetic moment on the atom in μB.
Atoms (fractional coordinates):
O 0.716 0.716 0.342  0.05
O 0.822 0.178 0.172  0.04
O 0.299 0.299 0.986  0.07
O 0.678 0.678 0.672  0.04
O 0.216 0.784 0.842  0.05
O 0.178 0.822 0.172  0.04
O 0.322 0.322 0.672  0.04
O 0.784 0.216 0.842  0.05
O 0.799 0.201 0.486  0.07
O 0.701 0.701 0.986  0.07
O 0.201 0.799 0.486  0.07
O 0.284 0.284 0.342  0.05
Ir 0.000 0.000 0.997  0.62
Ir 0.500 0.500 0.497  0.62
Pa 0.500 0.500 0.171  0.03
Pa 0.000 0.000 0.671  0.03
Al 0.500 0.500 0.833  0.00
Al 0.000 0.000 0.333  0.00

**Crystal system**: tetragonal
**Formation energy from raw total energies**: -2.349 eV per atom
**Total moment**: 0.12 μB/atom


No. 2
Density functional theory data (PBE) for crystalline PuMg2Ag at its relaxed geometry.

Lattice parameters (Å, degrees): 3.086 3.086 11.153 82.05 82.05 60.00
Last column: magnetic moment on the atom in μB.
Atoms (fractional coordinates):
Mg 0.096 0.096 0.711  0.00
Mg 0.904 0.904 0.289  0.00
Pu 0.000 0.000 0.000  5.47
Ag 0.500 0.500 0.500  0.00

**Crystal system**: trigonal
**Total moment**: 1.43 μB/atom
**Energy of formation from the pure elements**: 0.17 eV/atom


No. 3
Density functional theory data (PBE) for crystalline CaRePb2 at its relaxed geometry.

Lattice parameters (Å, degrees): 3.833 5.265 4.684 90.00 90.00 90.00
Atoms (fractional coordinates):
Ca 0.000 0.500 0.500
Pb 0.000 0.000 0.000
Pb 0.500 0.500 0.000
Re 0.500 0.000 0.500

**Crystal system**: orthorhombic
**Total moment**: 0.00 μB/atom
**Energy of formation from the pure elements**: 0.64 eV/atom


No. 4
Density functional theory data (PBE) for crystalline Pm2Eu at its relaxed geometry.

Lattice parameters (Å, degrees): 3.720 3.720 8.322 102.91 102.91 90.00
Last column: magnetic moment on the atom in μB.
Atoms (fractional coordinates):
Pm 0.326 0.326 0.653  -0.04
Pm 0.674 0.674 0.347  -0.04
Eu 0.000 0.000 0.000  6.98

**Crystal system**: tetragonal
**Total moment**: 2.44 μB/atom
**Energy of formation from the pure elements**: 0.03 eV/atom


No. 5
Density functional theory data (PBE) for crystalline LiCrIn2 at its relaxed geometry.

Lattice parameters (Å, degrees): 3.136 5.657 5.868 51.10 90.00 90.00
Last column: magnetic moment on the atom in μB.
Atoms (fractional coordinates):
In 0.500 0.500 0.000  -0.07
In 0.000 0.000 0.000  -0.02
Cr 0.000 0.000 0.500  3.46
Li 0.500 0.500 0.500  -0.01

**Crystal system**: monoclinic
**Total moment**: 0.92 μB/atom
**Energy of formation from the pure elements**: 0.19 eV/atom


No. 6
Density functional theory data (PBE) for crystalline KAs2W at its relaxed geometry.

Lattice parameters (Å, degrees): 3.440 3.282 8.795 111.89 90.00 90.00
Atoms (fractional coordinates):
K 0.000 0.483 0.484
W 0.500 0.976 0.976
As 0.500 0.707 0.207
As 0.000 0.334 0.834

**Crystal system**: orthorhombic
**Total moment**: 0.00 μB/atom
**Energy of formation from the pure elements**: -0.01 eV/atom


No. 7
Density functional theory data (PBE) for crystalline CeMgScOs at its relaxed geometry.

Lattice parameters (Å, degrees): 4.900 4.900 4.900 60.00 60.00 60.00
Atoms (fractional coordinates):
Mg 0.000 0.000 0.000
Ce 0.250 0.250 0.250
Os 0.500 0.500 0.500
Sc 0.750 0.750 0.750

**Crystal system**: cubic
**Total moment**: 0.00 μB/atom
**Energy of formation from the pure elements**: -0.11 eV/atom


No. 8
Density functional theory data (PBE) for crystalline LaMo2Se at its relaxed geometry.

Lattice parameters (Å, degrees): 5.566 5.566 5.566 143.82 120.20 71.93
Atoms (fractional coordinates):
Mo 0.954 0.954 0.000
Mo 0.757 0.257 0.500
Se 0.532 0.532 0.000
La 0.257 0.757 0.500

**Crystal system**: orthorhombic
**Formation energy from raw total energies**: 0.204 eV per atom
**Total moment**: 0.00 μB/atom


No. 9
Density functional theory data (PBE) for crystalline Re2TeSe at its relaxed geometry.

Lattice parameters (Å, degrees): 5.761 5.761 7.017 65.77 65.77 90.00
Atoms (fractional coordinates):
Se 0.250 0.750 0.500
Se 0.500 0.500 0.000
Re 0.875 0.846 0.750
Re 0.154 0.625 0.250
Re 0.375 0.404 0.750
Re 0.596 0.125 0.250
Te 0.000 0.000 0.000
Te 0.750 0.250 0.500

**Crystal system**: tetragonal
**Formation energy from raw total energies**: 0.979 eV per atom
**Total moment**: 0.00 μB/atom


No. 10
Density functional theory data (PBE) for crystalline Rb3Tb3TmS8 at its relaxed geometry.

Lattice parameters (Å, degrees): 8.072 8.076 9.119 116.33 90.00 119.98
Atoms (fractional coordinates):
Tb 0.500 0.500 0.500
Tb 0.000 0.500 0.500
Tb 0.500 0.000 0.500
S 0.731 0.462 0.692
S 0.774 0.547 0.313
S 0.226 0.453 0.687
S 0.266 0.039 0.313
S 0.734 0.961 0.687
S 0.269 0.538 0.308
S 0.774 0.039 0.313
S 0.226 0.961 0.687
Rb 0.000 0.000 0.000
Rb 0.000 0.500 0.000
Rb 0.500 0.500 0.000
Tm 0.000 0.000 0.500

**Crystal system**: trigonal
**Formation energy from raw total energies**: -1.774 eV per atom
**Total moment**: 0.00 μB/atom


Number 1: V 107.29 Å³/f.u., density of states at the Fermi level 4.3 states/eV/f.u.. Number 2: V 90.79 Å³/f.u., density of states at the Fermi level 7.5 states/eV/f.u.. Number 3: V 94.52 Å³/f.u., density of states at the Fermi level 3.2 states/eV/f.u.. Number 4: V 109.23 Å³/f.u., density of states at the Fermi level 3.1 states/eV/f.u.. Number 5: V 81.00 Å³/f.u., density of states at the Fermi level 3.0 states/eV/f.u.. Number 6: V 92.12 Å³/f.u., density of states at the Fermi level 2.6 states/eV/f.u.. Number 7: V 83.20 Å³/f.u., density of states at the Fermi level 4.1 states/eV/f.u.. Number 8: V 86.40 Å³/f.u., density of states at the Fermi level 3.9 states/eV/f.u.. Number 9: V 94.81 Å³/f.u., density of states at the Fermi level 4.7 states/eV/f.u.. Number 10: V 442.30 Å³/f.u., density of states at the Fermi level 11.4 states/eV/f.u..